[1]
# DyGa2Pd

A relaxed structure of DyGa2Pd (GGA-PBE, the Alexandria database).

Cell: 5.490 6.755 8.218 Å, 90.00 90.00 90.00°
Fractional positions:
Ga 0.381 0.947 0.309
Dy 0.629 0.750 0.961
Dy 0.871 0.750 0.461
Ga 0.119 0.947 0.809
Pd 0.367 0.750 0.586
Ga 0.119 0.553 0.809
Ga 0.381 0.553 0.309
Ga 0.619 0.447 0.691
Ga 0.881 0.447 0.191
Pd 0.133 0.750 0.086
Dy 0.371 0.250 0.039
Ga 0.619 0.053 0.691
Pd 0.633 0.250 0.414
Dy 0.129 0.250 0.539
Ga 0.881 0.053 0.191
Pd 0.867 0.250 0.914

## Properties
ΔH_f (0 K) ... -70.49 kJ per mole of atoms
V ... 19.048 A^3/atom


[2]
# Dy3Ga5Pd6

A relaxed structure of Dy3Ga5Pd6 (GGA-PBE, the Alexandria database).

Cell: 4.350 8.952 13.092 Å, 90.00 90.00 90.00°
Fractional positions:
Ga 0.500 0.217 0.500
Pd 0.000 0.977 0.852
Ga 0.500 0.469 0.618
Pd 0.500 0.952 0.000
Pd 0.500 0.405 0.813
Pd 0.500 0.405 0.187
Ga 0.000 0.531 0.118
Ga 0.000 0.531 0.882
Pd 0.500 0.023 0.352
Dy 0.000 0.245 0.303
Dy 0.000 0.237 0.000
Pd 0.000 0.977 0.148
Dy 0.000 0.245 0.697
Pd 0.500 0.579 0.000
Ga 0.500 0.123 0.159
Pd 0.000 0.595 0.313
Ga 0.000 0.877 0.659
Ga 0.000 0.877 0.341
Dy 0.500 0.755 0.197
Pd 0.500 0.023 0.648
Pd 0.000 0.048 0.500
Pd 0.000 0.595 0.687
Ga 0.500 0.123 0.841
Dy 0.500 0.755 0.803
Dy 0.500 0.763 0.500
Ga 0.000 0.783 0.000
Pd 0.000 0.421 0.500
Ga 0.500 0.469 0.382

## Properties
ΔH_f (0 K) ... -79.59 kJ per mole of atoms
V ... 18.207 A^3/atom


[3]
# DyGaPd4

A relaxed structure of DyGaPd4 (GGA-PBE, the Alexandria database).

Cell: 5.326 5.326 5.326 Å, 60.00 60.00 60.00°
Fractional positions:
Dy 0.250 0.250 0.250
Ga 0.000 0.000 0.000
Pd 0.124 0.625 0.625
Pd 0.625 0.124 0.625
Pd 0.625 0.625 0.625
Pd 0.625 0.625 0.124

## Properties
Offset from the most stable computed form ... 4.24 kJ/mol of atoms
ΔH_f (0 K) ... -58.31 kJ per mole of atoms
V ... 17.801 A^3/atom


[4]
# DyGa4Pd6

A relaxed structure of DyGa4Pd6 (GGA-PBE, the Alexandria database).

Cell: 3.881 7.378 7.378 Å, 120.00 90.00 90.00°
Fractional positions:
Ga 0.500 0.396 0.198
Pd 0.000 0.933 0.466
Ga 0.500 0.802 0.198
Ga 0.500 0.802 0.604
Pd 0.500 0.196 0.804
Ga 0.000 0.333 0.667
Pd 0.000 0.534 0.067
Pd 0.500 0.196 0.393
Dy 0.000 0.000 0.000
Pd 0.500 0.607 0.804
Pd 0.000 0.534 0.466

## Properties
Offset from the most stable computed form ... 0.00 kJ/mol of atoms
ΔH_f (0 K) ... -72.83 kJ per mole of atoms
V ... 16.631 A^3/atom


[5]
# Dy5GaPd4

A relaxed structure of Dy5GaPd4 (GGA-PBE, the Alexandria database).

Cell: 3.517 3.517 17.644 Å, 90.00 90.00 90.00°
Fractional positions:
Ga 0.000 0.000 0.000
Dy 0.500 0.500 0.699
Pd 0.000 0.000 0.202
Pd 0.000 0.000 0.599
Dy 0.500 0.500 0.104
Pd 0.000 0.000 0.798
Dy 0.500 0.500 0.896
Dy 0.500 0.500 0.500
Pd 0.000 0.000 0.401
Dy 0.500 0.500 0.301

## Properties
ΔH_f (0 K) ... -79.65 kJ per mole of atoms
V ... 21.828 A^3/atom


[6]
# Dy3Ga6Pd20

A relaxed structure of Dy3Ga6Pd20 (GGA-PBE, the Alexandria database).

Cell: 8.831 8.831 8.831 Å, 60.00 60.00 60.00°
Fractional positions:
Ga 0.726 0.274 0.274
Pd 0.656 0.344 0.000
Ga 0.726 0.274 0.726
Ga 0.274 0.726 0.726
Ga 0.274 0.726 0.274
Pd 0.378 0.378 0.378
Pd 0.134 0.622 0.622
Pd 0.866 0.378 0.378
Pd 0.378 0.378 0.866
Pd 0.000 0.656 0.344
Ga 0.274 0.274 0.726
Pd 0.378 0.866 0.378
Pd 0.622 0.622 0.622
Pd 0.000 0.000 0.344
Pd 0.344 0.000 0.000
Pd 0.000 0.656 0.000
Pd 0.000 0.344 0.656
Pd 0.656 0.000 0.000
Ga 0.726 0.726 0.274
Pd 0.622 0.134 0.622
Pd 0.000 0.344 0.000
Dy 0.000 0.000 0.000
Dy 0.250 0.250 0.250
Dy 0.750 0.750 0.750
Pd 0.344 0.000 0.656
Pd 0.656 0.000 0.344
Pd 0.622 0.622 0.134
Pd 0.000 0.000 0.656
Pd 0.344 0.656 0.000

## Properties
ΔH_f (0 K) ... -64.93 kJ per mole of atoms
V ... 16.793 A^3/atom